{"formula": "MnFe2Pt", "functional": "PBE", "state": "optimized geometry", "lattice_angstrom": [[1.3198, 0.7620, 8.5642], [-1.3198, 0.7620, 8.5642], [0.0000, -1.5239, 8.5642]], "species": ["Mn", "Fe", "Fe", "Pt"], "frac_coords": [[0.0000, 0.0000, 0.0000], [0.2564, 0.2564, 0.2564], [0.5075, 0.5075, 0.5075], [0.7539, 0.7539, 0.7539]], "crystal_system": "trigonal", "space_group": "R3m (160)", "total_energy_ev_per_atom": -8.0086, "ef_ev_per_atom": 0.025}

{"formula": "MnFePt4", "functional": "PBE", "state": "optimized geometry", "lattice_angstrom": [[0.0000, 3.6931, 3.6931], [3.6931, 0.0000, 3.6931], [3.6931, 3.6931, 0.0000]], "species": ["Mn", "Fe", "Pt", "Pt", "Pt", "Pt"], "frac_coords": [[0.0000, 0.0000, 0.0000], [0.2500, 0.2500, 0.2500], [0.1253, 0.6249, 0.6249], [0.6249, 0.1253, 0.6249], [0.6249, 0.6249, 0.1253], [0.6249, 0.6249, 0.6249]], "crystal_system": "cubic", "polymorph_energy_mev_per_atom": 230, "space_group": "F-43m (216)", "total_energy_ev_per_atom": -6.8676, "ef_ev_per_atom": 0.098}

{"formula": "Mn2FePt2", "functional": "PBE", "state": "optimized geometry", "lattice_angstrom": [[7.3115, 0.0000, 0.0000], [0.0000, 7.3115, 0.0000], [0.0000, 0.0000, 2.8784]], "species": ["Mn", "Mn", "Mn", "Mn", "Fe", "Fe", "Pt", "Pt", "Pt", "Pt"], "frac_coords": [[0.1574, 0.3426, 0.0000], [0.3426, 0.8426, 0.0000], [0.6574, 0.1574, 0.0000], [0.8426, 0.6574, 0.0000], [0.0000, 0.0000, 0.5000], [0.5000, 0.5000, 0.5000], [0.1409, 0.6409, 0.5000], [0.3591, 0.1409, 0.5000], [0.6409, 0.8591, 0.5000], [0.8591, 0.3591, 0.5000]], "crystal_system": "tetragonal", "space_group": "P4/mbm (127)", "total_energy_ev_per_atom": -7.7890, "ef_ev_per_atom": -0.012}

{"formula": "MnFePt4", "functional": "PBE", "state": "optimized geometry", "lattice_angstrom": [[8.7560, 0.0000, 0.0000], [0.0000, 2.7465, 0.0000], [0.0000, 0.0000, 7.5673]], "species": ["Mn", "Mn", "Fe", "Fe", "Pt", "Pt", "Pt", "Pt", "Pt", "Pt", "Pt", "Pt"], "frac_coords": [[0.2500, 0.0000, 0.1792], [0.7500, 0.0000, 0.8208], [0.2500, 0.0000, 0.5354], [0.7500, 0.0000, 0.4646], [0.0000, 0.0000, 0.0000], [0.0262, 0.5000, 0.3294], [0.2500, 0.5000, 0.8472], [0.4738, 0.5000, 0.3294], [0.5000, 0.0000, 0.0000], [0.5262, 0.5000, 0.6706], [0.7500, 0.5000, 0.1528], [0.9738, 0.5000, 0.6706]], "crystal_system": "orthorhombic", "polymorph_energy_mev_per_atom": 0, "space_group": "Pmma (51)", "total_energy_ev_per_atom": -7.0979, "ef_ev_per_atom": -0.132}

{"formula": "Mn2Fe2Pt", "functional": "PBE", "state": "optimized geometry", "lattice_angstrom": [[6.7159, 0.0000, 0.0000], [0.0000, 6.7159, 0.0000], [0.0000, 0.0000, 2.5811]], "species": ["Mn", "Mn", "Mn", "Mn", "Fe", "Fe", "Fe", "Fe", "Pt", "Pt"], "frac_coords": [[0.1689, 0.3311, 0.0000], [0.3311, 0.8311, 0.0000], [0.6689, 0.1689, 0.0000], [0.8311, 0.6689, 0.0000], [0.1239, 0.6239, 0.5000], [0.3761, 0.1239, 0.5000], [0.6239, 0.8761, 0.5000], [0.8761, 0.3761, 0.5000], [0.0000, 0.0000, 0.5000], [0.5000, 0.5000, 0.5000]], "crystal_system": "tetragonal", "polymorph_energy_mev_per_atom": 0, "space_group": "P4/mbm (127)", "total_energy_ev_per_atom": -8.1748, "ef_ev_per_atom": 0.086}

{"formula": "Mn2Fe2Pt", "functional": "PBE", "state": "optimized geometry", "lattice_angstrom": [[6.7457, 0.0000, 0.0000], [0.0000, 6.7457, 0.0000], [0.0000, 0.0000, 2.5745]], "species": ["Mn", "Mn", "Mn", "Mn", "Fe", "Fe", "Fe", "Fe", "Pt", "Pt"], "frac_coords": [[0.1199, 0.3801, 0.0000], [0.3801, 0.8801, 0.0000], [0.6199, 0.1199, 0.0000], [0.8801, 0.6199, 0.0000], [0.1705, 0.6705, 0.5000], [0.3295, 0.1705, 0.5000], [0.6705, 0.8295, 0.5000], [0.8295, 0.3295, 0.5000], [0.0000, 0.0000, 0.0000], [0.5000, 0.5000, 0.0000]], "crystal_system": "tetragonal", "polymorph_energy_mev_per_atom": 46, "space_group": "P4/mbm (127)", "total_energy_ev_per_atom": -8.1284, "ef_ev_per_atom": 0.133}

{"formula": "Mn3FePt12", "functional": "PBE", "state": "optimized geometry", "lattice_angstrom": [[3.9245, 0.0000, 0.0000], [0.0000, 3.9245, 0.0000], [0.0000, 0.0000, 15.7425]], "species": ["Mn", "Mn", "Mn", "Fe", "Pt", "Pt", "Pt", "Pt", "Pt", "Pt", "Pt", "Pt", "Pt", "Pt", "Pt", "Pt"], "frac_coords": [[0.0000, 0.0000, 0.0000], [0.0000, 0.0000, 0.2499], [0.0000, 0.0000, 0.7501], [0.0000, 0.0000, 0.5000], [0.0000, 0.5000, 0.1253], [0.0000, 0.5000, 0.3769], [0.0000, 0.5000, 0.6231], [0.0000, 0.5000, 0.8747], [0.5000, 0.0000, 0.1253], [0.5000, 0.0000, 0.3769], [0.5000, 0.0000, 0.6231], [0.5000, 0.0000, 0.8747], [0.5000, 0.5000, 0.0000], [0.5000, 0.5000, 0.2511], [0.5000, 0.5000, 0.5000], [0.5000, 0.5000, 0.7489]], "crystal_system": "tetragonal", "space_group": "P4/mmm (123)", "total_energy_ev_per_atom": -7.1062, "ef_ev_per_atom": -0.327}

{"formula": "MnFe2Pt", "functional": "PBE", "state": "optimized geometry", "lattice_angstrom": [[2.6149, 0.0000, 0.0000], [0.0000, 2.6149, 0.0000], [0.0000, 0.0000, 7.3481]], "species": ["Mn", "Fe", "Fe", "Pt"], "frac_coords": [[0.0000, 0.0000, 0.0000], [0.0000, 0.0000, 0.5341], [0.5000, 0.5000, 0.7685], [0.5000, 0.5000, 0.2689]], "crystal_system": "tetragonal", "space_group": "P4mm (99)", "total_energy_ev_per_atom": -8.0362, "ef_ev_per_atom": -0.002}

{"formula": "Mn2FePt", "functional": "PBE", "state": "optimized geometry", "lattice_angstrom": [[2.6546, 0.0000, 0.0000], [0.0000, 3.7191, 0.0000], [0.0000, 0.0000, 5.2676]], "species": ["Mn", "Mn", "Fe", "Pt"], "frac_coords": [[0.0000, 0.0000, 0.0000], [0.5000, 0.5000, 0.2385], [0.5000, 0.5000, 0.7609], [0.0000, 0.0000, 0.5055]], "crystal_system": "orthorhombic", "space_group": "Pmm2 (25)", "total_energy_ev_per_atom": -8.3264, "ef_ev_per_atom": -0.116}

{"formula": "Mn2FePt", "functional": "PBE", "state": "optimized geometry", "lattice_angstrom": [[2.6127, 0.0000, 0.0000], [0.0000, 3.6601, 0.0000], [0.0000, 0.0000, 5.2251]], "species": ["Mn", "Mn", "Fe", "Pt"], "frac_coords": [[0.0000, 0.0000, 0.2309], [0.0000, 0.0000, 0.7691], [0.5000, 0.5000, 0.0000], [0.5000, 0.5000, 0.5000]], "crystal_system": "orthorhombic", "space_group": "Pmmm (47)", "total_energy_ev_per_atom": -8.2595, "ef_ev_per_atom": -0.049}

{"formula": "MnFe2Pt", "functional": "PBE", "state": "optimized geometry", "lattice_angstrom": [[-1.8298, 1.8298, 3.8692], [1.8298, -1.8298, 3.8692], [1.8298, 1.8298, -3.8692]], "species": ["Mn", "Fe", "Fe", "Pt"], "frac_coords": [[0.0000, 0.0000, 0.0000], [0.2500, 0.7500, 0.5000], [0.7500, 0.2500, 0.5000], [0.5000, 0.5000, 0.0000]], "crystal_system": "tetragonal", "space_group": "I4/mmm (139)", "total_energy_ev_per_atom": -8.1923, "ef_ev_per_atom": -0.158}

{"formula": "Mn2FePt", "functional": "PBE", "state": "optimized geometry", "lattice_angstrom": [[2.5846, -3.7351, 0.0000], [2.5846, 3.7351, 0.0000], [0.0000, 0.0000, 2.6183]], "species": ["Mn", "Mn", "Fe", "Pt"], "frac_coords": [[0.0000, 0.5000, 0.0000], [0.5000, 0.0000, 0.0000], [0.0000, 0.0000, 0.5000], [0.5000, 0.5000, 0.5000]], "crystal_system": "orthorhombic", "space_group": "Cmmm (65)", "total_energy_ev_per_atom": -8.2331, "ef_ev_per_atom": -0.022}